Entry from the Alexandria database: an optimized crystal structure of LaTiSn2 (PBE).

```
4
Lattice="-3.551 -1.521 3.550 -1.770 3.413 3.569 -4.927 1.779 -0.289" Properties=species:S:1:pos:R:3 pbc="T T T"
Ti 0.000 0.000 0.000
Sn -2.562 0.918 1.707
Sn -7.685 2.753 5.122
La -5.124 1.835 3.415
```

Computed properties:
**Formation enthalpy at 0 K**: -0.29 eV/atom
**ΔE to the lowest computed polymorph**: 0.134 eV/atom
**Total DFT energy (no corrections)**: -5.50 eV/atom